Compound: Pa2AgC2S2
Source: Alexandria
Functional: GGA-PBE
Structure: optimized geometry

Cell lengths 3.9384, 3.9384, 11.0503 Å; angles 90.00, 90.00, 120.00 degrees
Positions (direct):
Pa1 0.6667 0.3333 0.3641
Pa2 0.3333 0.6667 0.6359
Ag1 0.0000 0.0000 0.0000
C1 0.6667 0.3333 0.5752
C2 0.3333 0.6667 0.4248
S1 0.0000 0.0000 0.7864
S2 0.0000 0.0000 0.2136

* total moment: 0.000 μB per atom
* energy: -7.536 eV/atom

---

Compound: BeAlPb2
Source: Alexandria
Functional: GGA-PBE
Structure: optimized geometry

Cell lengths 6.0961, 6.0961, 6.0961 Å; angles 139.86, 139.86, 58.06 degrees
Positions (direct):
Pb1 0.0000 0.0000 0.0000
Pb2 0.2500 0.7500 0.5000
Be1 0.7500 0.2500 0.5000
Al1 0.5000 0.5000 0.0000

* ΔE_f: 56.57 kJ per mole of atoms
* total moment: 0.000 μB per atom
* energy: -3.135 eV/atom

---

Q: Which formula does entry 2 have?
A: BeAlPb2

---

Please write out number 1 again, unchanged.
Compound: Pa2AgC2S2
Source: Alexandria
Functional: GGA-PBE
Structure: optimized geometry

Cell lengths 3.9384, 3.9384, 11.0503 Å; angles 90.00, 90.00, 120.00 degrees
Positions (direct):
Pa1 0.6667 0.3333 0.3641
Pa2 0.3333 0.6667 0.6359
Ag1 0.0000 0.0000 0.0000
C1 0.6667 0.3333 0.5752
C2 0.3333 0.6667 0.4248
S1 0.0000 0.0000 0.7864
S2 0.0000 0.0000 0.2136

* total moment: 0.000 μB per atom
* energy: -7.536 eV/atom